(1)
5
Lattice="-3.7018 -3.4867 -2.7467 -2.4234 -0.9989 4.5341 -3.5424 4.4757 -0.9073" Properties=species:S:1:pos:R:3 comment="Sr2VTcBi, optimized geometry, DFT PBE" sg="P4/mmm (123)" dos_at_fermi_per_ev_atom=1.14 e_tot_ev_per_atom=-4.495 formation_enthalpy_0k_ev_per_fu=4.255 pbc="T T T"
Sr -1.8509 -1.7433 -1.3734
Sr -1.7712 2.2379 -0.4536
Tc 0.0000 0.0000 0.0000
Bi -1.2117 -0.4995 2.2670
V -4.8338 -0.0049 0.4400


(2)
4
Lattice="0.0000 3.8827 3.8827 3.8827 0.0000 3.8827 3.8827 3.8827 0.0000" Properties=species:S:1:pos:R:3 comment="Ca2CdCl, optimized geometry, DFT PBE" sg="Fm-3m (225)" dos_at_fermi_per_ev_atom=1.25 raw_formation_energy_mev_per_atom=-628 e_tot_ev_per_atom=-2.319 de_polymorph_ev_per_fu=1.38 pbc="T T T"
Ca 5.8240 5.8240 5.8240
Ca 1.9413 1.9413 1.9413
Cl 0.0000 0.0000 0.0000
Cd 3.8827 3.8827 3.8827


(3)
4
Lattice="6.3297 -0.0464 -0.0253 5.2676 3.5099 -0.0253 1.8289 0.5462 4.3861" Properties=species:S:1:pos:R:3 comment="K2HgRu, optimized geometry, DFT PBE" sg="Immm (71)" dos_at_fermi_per_ev_atom=0.78 e_tot_ev_per_atom=-2.144 formation_enthalpy_0k_ev_per_fu=3.197 pbc="T T T"
Hg 3.3565 1.0024 1.0838
K 1.9458 0.5811 4.3329
K 6.5962 1.9700 2.2209
Ru 10.0696 3.0073 3.2515


(4)
4
Lattice="2.9790 0.0000 0.0000 0.0000 3.4603 0.0000 0.0000 0.0000 6.9320" Properties=species:S:1:pos:R:3 comment="AlPtSe2, optimized geometry, DFT PBE" sg="Pmmm (47)" dos_at_fermi_per_ev_atom=0.61 raw_formation_energy_mev_per_atom=202 e_tot_ev_per_atom=-3.986 pbc="T T T"
Pt 1.4895 1.7302 5.1990
Al 1.4895 1.7302 1.7330
Se 0.0000 0.0000 0.0128
Se 0.0000 0.0000 3.4532


(5)
12
Lattice="-3.1111 -2.6265 1.5184 4.1659 -0.7904 0.9504 -3.4246 24.5290 35.4122" Properties=species:S:1:pos:R:3 comment="KBa4Sr7, optimized geometry, DFT PBE" sg="P-3m1 (164)" dos_at_fermi_per_ev_atom=1.22 e_tot_ev_per_atom=-1.690 formation_enthalpy_0k_ev_per_fu=0.287 pbc="T T T"
Sr -2.6945 12.3756 22.1039
Sr 0.3247 8.7364 15.7772
Sr -0.8457 6.0576 8.7453
Sr -2.5789 18.4714 26.6669
Sr 0.0000 0.0000 0.0000
Sr 1.1682 2.6949 7.0551
Sr -3.5380 18.4171 30.8259
Ba -1.8179 6.0967 13.0391
Ba -0.5519 15.0154 24.8420
Ba -0.9714 0.0336 4.2859
Ba -1.3984 21.0784 33.5951
K -1.7123 12.2645 17.7061


(6)
4
Lattice="-2.9129 -2.6013 2.9241 2.6416 -3.7287 -0.6857 2.6005 1.1738 3.6347" Properties=species:S:1:pos:R:3 comment="ThMg2Sn, optimized geometry, DFT PBE" sg="P4/mmm (123)" dos_at_fermi_per_ev_atom=0.78 e_tot_ev_per_atom=-3.931 formation_enthalpy_0k_ev_per_fu=-1.111 de_polymorph_ev_per_fu=0.00 pbc="T T T"
Sn -1.4564 -1.3007 1.4620
Th 1.1646 -2.5781 2.9366
Mg 1.3208 -1.8644 -0.3429
Mg 1.3002 0.5869 1.8174


(7)
10
Lattice="7.5752 0.0000 0.0000 0.0000 8.0916 -0.0864 0.0000 -2.3996 5.8383" Properties=species:S:1:pos:R:3 comment="CsMgHgSe2, optimized geometry, DFT PBE" sg="Cmme (67)" dos_at_fermi_per_ev_atom=0.80 raw_formation_energy_mev_per_atom=-823 e_tot_ev_per_atom=-2.767 pbc="T T T"
Se 5.1668 4.2575 5.1616
Se 5.1668 0.2347 3.5095
Se 2.4084 5.4573 2.2424
Se 2.4084 1.4345 0.5903
Hg 0.0000 -1.1998 2.9191
Hg 0.0000 0.0000 0.0000
Mg 3.7883 -0.5999 1.4596
Mg 3.7869 -1.7997 4.3787
Cs 2.0400 2.2461 4.3355
Cs 5.5351 3.4459 1.4164


(8)
5
Lattice="-3.7850 3.3822 -0.7256 -1.4430 -0.6338 4.5734 3.1026 3.7949 1.5048" Properties=species:S:1:pos:R:3 comment="CaZrBeGe2, optimized geometry, DFT PBE" sg="P4/mmm (123)" dos_at_fermi_per_ev_atom=0.51 e_tot_ev_per_atom=-4.472 formation_enthalpy_0k_ev_per_fu=1.149 pbc="T T T"
Ca -1.0627 3.2717 2.6764
Ge -1.8925 1.6911 -0.3628
Ge 1.5513 1.8974 0.7524
Zr 0.0000 0.0000 0.0000
Be -0.7215 -0.3169 2.2867


(9)
11
Lattice="-4.7446 -0.9365 0.4688 1.4660 -6.0075 2.8262 1.6653 6.5352 4.8512" Properties=species:S:1:pos:R:3 comment="Tb6Ru5, optimized geometry, DFT PBE" sg="C2/m (12)" dos_at_fermi_per_ev_atom=0.65 e_tot_ev_per_atom=-7.031 formation_enthalpy_0k_ev_per_fu=-3.178 pbc="T T T"
Ru -1.6311 -2.4742 3.7647
Ru 0.7518 -0.9887 5.6879
Ru -2.3652 0.5799 2.4582
Ru 0.0177 2.0654 4.3814
Ru 0.7330 -3.0038 1.4131
Tb -2.7205 3.0744 3.8559
Tb 0.3906 1.5674 7.2023
Tb -2.0040 -1.9763 0.9439
Tb -1.9876 0.0699 5.2693
Tb 1.1072 -3.4832 4.2902
Tb 0.3742 -0.4787 2.8769


(10)
5
Lattice="-3.2212 4.2648 -0.2314 -3.3228 -2.3203 3.4919 2.6834 2.2464 4.0462" Properties=species:S:1:pos:R:3 comment="CsLi3S, optimized geometry, DFT PBE" sg="Pm-3m (221)" dos_at_fermi_per_ev_atom=0.51 raw_formation_energy_mev_per_atom=898 e_tot_ev_per_atom=-1.246 de_polymorph_ev_per_fu=6.49 pbc="T T T"
Li -1.6106 2.1324 -0.1157
Li -1.6614 -1.1601 1.7460
Li 1.3417 1.1232 2.0231
S -1.9303 2.0954 3.6533
Cs 0.0000 0.0000 0.0000


(11)
7
Lattice="3.4393 0.0000 -0.9751 -0.8426 5.2257 -2.9719 0.1689 -0.0077 7.1488" Properties=species:S:1:pos:R:3 comment="Ce2Er2C3, optimized geometry, DFT PBE" sg="C2/m (12)" dos_at_fermi_per_ev_atom=0.90 e_tot_ev_per_atom=-7.150 formation_enthalpy_0k_ev_per_fu=-1.387 pbc="T T T"
Ce -0.1968 4.1476 -0.6942
Ce 2.9624 1.0704 3.8959
C 1.9732 3.9041 0.4067
C 0.0000 0.0000 0.0000
C 0.7925 1.3139 2.7951
Er 1.9971 1.4237 0.4909
Er 0.7686 3.7943 2.7108


(12)
6
Lattice="-3.5746 -0.2481 -0.9414 0.7278 -3.0604 -1.9569 -2.1751 -6.9735 10.0973" Properties=species:S:1:pos:R:3 comment="PmY3Hg2, optimized geometry, DFT PBE" sg="P4/mmm (123)" dos_at_fermi_per_ev_atom=1.15 e_tot_ev_per_atom=-4.454 formation_enthalpy_0k_ev_per_fu=-1.980 de_polymorph_ev_per_fu=0.25 pbc="T T T"
Y -1.5233 -4.8838 7.0715
Y -0.6518 -2.0897 3.0258
Y 0.0000 0.0000 0.0000
Pm -2.5109 -5.1411 3.5995
Hg -1.7527 -2.7101 0.0796
Hg -3.2691 -7.5721 7.1194